Entry 1:
Density functional theory data (PBE) for an optimized crystal structure of AlCd2Br.

Computed properties:
Spin magnetization = 0.00 Bohr magnetons per cell
Crystal system = monoclinic
Formation energy from raw total energies = -0.01 eV/atom
Relative energy among the computed polymorphs = 0.065 eV/atom

a b c (Å): 3.1141 5.3322 5.8609
angles (deg): 90.00 90.07 90.00
Fractional coordinates of all 4 atoms:
Al 0.0000 0.0000 0.0000
Cd 0.0222 0.5000 0.5009
Cd 0.5227 0.0000 0.5001
Br 0.0279 0.5000 0.0008

---

Entry 2:
Density functional theory data (PBE) for an optimized crystal structure of AlCd2Br.

Computed properties:
Spin magnetization = 0.00 Bohr magnetons per cell
Crystal system = orthorhombic
Formation energy from raw total energies = -0.03 eV/atom
Relative energy among the computed polymorphs = 0.048 eV/atom

a b c (Å): 3.5338 3.5338 8.0440
angles (deg): 90.00 90.00 104.59
Fractional coordinates of all 4 atoms:
Al 0.0000 0.0000 0.0000
Cd 0.5000 0.5000 0.2289
Cd 0.5000 0.5000 0.7711
Br 0.0000 0.0000 0.5000